Below is crystalline CoTcPS2 at its relaxed geometry, with properties calculated at the PBE level.

Output
N(E_F): 7.9 states/eV per cell
calculated density: 4.33 g cm⁻³
formation energy from raw total energies: 0.985 eV per atom
magnetic moment: 0.041 μB/atom

Lattice parameters (Å, degrees): 4.592 4.592 4.579 90.00 90.00 90.00
Space group P4/mmm (No. 123)
One atom of each set of equivalent atoms:
Co 0.000 0.000 0.000 (multiplicity 1)
Tc 0.500 0.500 0.500 (multiplicity 1)
P 0.500 0.500 0.000 (multiplicity 1)
S 0.000 0.500 0.500 (multiplicity 2)